A geometry-optimized TbNpCu2O8 structure, computed with PBE.

CIF file:
```
data_TbNpCu2O8
_cell_length_a 6.796
_cell_length_b 6.796
_cell_length_c 6.797
_cell_angle_alpha 90.00
_cell_angle_beta 90.00
_cell_angle_gamma 90.00
_space_group_name_H-M_alt 'I -4 m 2'
_space_group_IT_number 119
_space_group_name_Hall 'I -4 -2'
loop_
_atom_site_label
_atom_site_fract_x
_atom_site_fract_y
_atom_site_fract_z
Tb1 0.000 0.000 0.000
Np1 0.000 0.500 0.250
Cu1 0.000 0.000 0.500
Cu2 0.000 0.500 0.750
O1 0.000 0.203 0.301
O2 0.000 0.328 0.955
```

DOS(E_F), states/eV per atom: 0.83
Volume, Å³ per cell: 313.9
Crystal system: tetragonal
E_form (uncorrected), eV per atom: -1.653